DFT (GGA-PBE) results for a relaxed structure of Mn2InW.

extended XYZ file:
```
8
Lattice="8.864 0.000 0.000 0.000 2.810 0.000 -0.586 0.000 5.170" Properties=species:S:1:pos:R:3 pbc="T T T"
Mn 2.046 0.000 1.435
Mn 1.801 1.405 3.735
Mn 6.478 1.405 1.435
Mn 6.233 0.000 3.735
In 0.000 1.405 0.000
In 4.432 0.000 0.000
W -0.293 0.000 2.585
W 4.139 1.405 2.585
```

- energy relative to the elements (eV per atom) = 0.425
- size of the total moment (μB per cell) = 11.33
- total DFT energy (no corrections) (eV/atom) = -8.083


DFT (GGA-PBE) results for a relaxed structure of SrCo2Mo.

extended XYZ file:
```
8
Lattice="2.759 0.000 0.000 0.000 4.804 0.000 0.000 0.000 10.080" Properties=species:S:1:pos:R:3 pbc="T T T"
Sr 0.000 0.000 0.000
Sr 1.379 2.402 5.040
Co 0.000 0.000 4.878
Co 0.000 2.402 7.901
Co 1.379 0.000 2.861
Co 1.379 2.402 9.918
Mo 0.000 2.402 2.069
Mo 1.379 0.000 7.109
```

- energy relative to the elements (eV per atom) = 0.768
- size of the total moment (μB per cell) = 3.44
- total DFT energy (no corrections) (eV/atom) = -5.913


DFT (GGA-PBE) results for a relaxed structure of SrEuZn.

extended XYZ file:
```
6
Lattice="3.884 0.000 0.000 0.000 3.884 0.000 0.000 0.000 13.811" Properties=species:S:1:pos:R:3 pbc="T T T"
Sr 0.000 0.000 0.000
Sr 1.942 1.942 6.906
Eu 0.000 0.000 3.705
Eu 1.942 1.942 10.611
Zn 0.000 0.000 8.874
Zn 1.942 1.942 1.968
```

- energy relative to the elements (eV per atom) = -0.154
- size of the total moment (μB per cell) = 14.52
- total DFT energy (no corrections) (eV/atom) = -4.564
- energy relative to the lowest polymorph listed for this composition (kJ/mol of atoms) = 0.0


DFT (GGA-PBE) results for a relaxed structure of LaNd3Co.

extended XYZ file:
```
10
Lattice="6.016 -4.304 0.000 6.016 4.304 0.000 -5.987 0.000 6.095" Properties=species:S:1:pos:R:3 pbc="T T T"
La -1.498 0.000 2.002
La 7.543 0.000 4.092
Nd 1.769 1.764 1.270
Nd 1.769 -1.764 1.270
Nd 0.993 0.000 4.572
Nd 5.052 0.000 1.522
Nd 4.276 1.764 4.825
Nd 4.276 -1.764 4.825
Co -2.342 0.000 5.365
Co 8.387 0.000 0.730
```

- energy relative to the elements (eV per atom) = -0.068
- size of the total moment (μB per cell) = 0.00
- total DFT energy (no corrections) (eV/atom) = -5.335
- energy relative to the lowest polymorph listed for this composition (kJ/mol of atoms) = 0.0


DFT (GGA-PBE) results for a relaxed structure of Er4Os.

extended XYZ file:
```
5
Lattice="5.371 0.000 0.000 0.000 5.371 0.000 0.000 0.000 5.371" Properties=species:S:1:pos:R:3 pbc="T T T"
Er 0.000 0.000 0.000
Er 0.000 2.686 2.686
Er 2.686 0.000 2.686
Er 2.686 2.686 0.000
Os 2.686 2.686 2.686
```

- energy relative to the elements (eV per atom) = 0.022
- size of the total moment (μB per cell) = 0.00
- total DFT energy (no corrections) (eV/atom) = -5.874
- energy relative to the lowest polymorph listed for this composition (kJ/mol of atoms) = 18.6


DFT (GGA-PBE) results for a relaxed structure of BiPd2Au2.

extended XYZ file:
```
10
Lattice="7.336 0.000 0.000 0.000 7.336 0.000 0.000 0.000 3.601" Properties=species:S:1:pos:R:3 pbc="T T T"
Bi 0.000 0.000 0.000
Bi 3.668 3.668 0.000
Pd 1.023 2.645 0.000
Pd 2.645 6.313 0.000
Pd 4.691 1.023 0.000
Pd 6.313 4.691 0.000
Au 1.134 4.802 1.801
Au 2.534 1.134 1.801
Au 4.802 6.202 1.801
Au 6.202 2.534 1.801
```

- energy relative to the elements (eV per atom) = -0.084
- size of the total moment (μB per cell) = 0.00
- total DFT energy (no corrections) (eV/atom) = -4.249
- energy relative to the lowest polymorph listed for this composition (kJ/mol of atoms) = 0.0


DFT (GGA-PBE) results for a relaxed structure of NbNiSn2.

extended XYZ file:
```
12
Lattice="3.114 0.000 0.000 -1.557 2.697 0.000 0.000 0.000 28.949" Properties=species:S:1:pos:R:3 pbc="T T T"
Nb 0.000 0.000 0.000
Nb 0.000 1.798 19.299
Nb 1.557 0.899 9.650
Ni 0.000 0.000 14.474
Ni 0.000 1.798 4.825
Ni 1.557 0.899 24.124
Sn 0.000 0.000 2.878
Sn 0.000 0.000 26.071
Sn 0.000 1.798 16.421
Sn 0.000 1.798 22.177
Sn 1.557 0.899 6.772
Sn 1.557 0.899 12.527
```

- energy relative to the elements (eV per atom) = 0.311
- size of the total moment (μB per cell) = 0.00
- total DFT energy (no corrections) (eV/atom) = -5.653


DFT (GGA-PBE) results for a relaxed structure of TlTe2.

extended XYZ file:
```
12
Lattice="11.493 0.000 0.000 0.000 8.843 0.000 0.000 0.000 4.498" Properties=species:S:1:pos:R:3 pbc="T T T"
Tl 0.000 1.532 1.125
Tl 0.000 7.311 3.374
Tl 5.746 2.890 3.374
Tl 5.746 5.953 1.125
Te 2.843 1.092 3.374
Te 2.843 7.751 1.125
Te 2.903 3.330 1.125
Te 2.903 5.513 3.374
Te 8.590 3.330 1.125
Te 8.590 5.513 3.374
Te 8.649 1.092 3.374
Te 8.649 7.751 1.125
```

- energy relative to the elements, uncorrected (eV per atom) = -0.1387
- size of the total moment (μB per cell) = 0.00
- total DFT energy (no corrections) (eV/atom) = -3.022
- energy relative to the lowest polymorph listed for this composition (kJ/mol of atoms) = 0.0